(1)
## TlHg2PbN (GGA-PBE)

Data for a geometry-optimized TlHg2PbN structure.

Properties
DOS(E_F) = 0.84 states/eV/atom
total magnetic moment = 0.71 μB per cell
uncorrected energy = -7.61 eV per cell
formation energy from raw total energies = 1.479 eV per atom
space-group type = P4/mmm (123)

Cell: 5.5782 6.2068 5.5782 Å, 90.00 90.00 90.00°
Atoms (fractional coordinates):
Pb (0.0000, 0.5000, 0.0000)
N (0.5000, 0.5000, 0.5000)
Hg (0.5000, 0.0000, 0.0000)
Hg (0.0000, 0.0000, 0.5000)
Tl (0.0000, 0.0000, 0.0000)

***

(2)
## Y4HgPbN (GGA-PBE)

Data for a geometry-optimized Y4HgPbN structure.

Properties
DOS(E_F) = 0.62 states/eV/atom
total magnetic moment = 0.00 μB per cell
uncorrected energy = -87.75 eV per cell
formation energy from raw total energies = -0.812 eV per atom
space-group type = Cmcm (63)

Cell: 6.6973 6.6943 8.5901 Å, 90.00 112.94 90.00°
Atoms (fractional coordinates):
Y (0.5000, 0.0000, 0.5000)
Y (0.5000, 0.5000, 0.5000)
Y (0.0805, 0.7500, 0.1610)
Y (0.5898, 0.2500, 0.1796)
Y (0.0000, 0.0000, 0.5000)
Y (0.0000, 0.5000, 0.5000)
Y (0.4102, 0.7500, 0.8204)
Y (0.9195, 0.2500, 0.8390)
Pb (0.6079, 0.7500, 0.2159)
Pb (0.3921, 0.2500, 0.7841)
N (0.2521, 0.7500, 0.5042)
N (0.7479, 0.2500, 0.4958)
Hg (0.1145, 0.2500, 0.2291)
Hg (0.8855, 0.7500, 0.7709)

***

(3)
## ZrHgPb2N (GGA-PBE)

Data for a geometry-optimized ZrHgPb2N structure.

Properties
DOS(E_F) = 1.28 states/eV/atom
total magnetic moment = 0.01 μB per cell
uncorrected energy = -14.97 eV per cell
formation energy from raw total energies = 1.924 eV per atom
space-group type = P4/mmm (123)

Cell: 5.5224 5.4779 5.5224 Å, 90.00 90.00 90.00°
Atoms (fractional coordinates):
N (0.5000, 0.5000, 0.5000)
Hg (0.0000, 0.0000, 0.0000)
Zr (0.0000, 0.5000, 0.0000)
Pb (0.5000, 0.0000, 0.0000)
Pb (0.0000, 0.0000, 0.5000)

***

(4)
## Hg2PdN (GGA-PBE)

Data for a geometry-optimized Hg2PdN structure.

Properties
DOS(E_F) = 0.42 states/eV/atom
total magnetic moment = 0.00 μB per cell
uncorrected energy = -23.13 eV per cell
formation energy from raw total energies = 0.640 eV per atom
space-group type = I-42d (122)

Cell: 9.4019 9.4019 6.9171 Å, 47.19 47.19 90.00°
Atoms (fractional coordinates):
Pd (0.0000, 0.0000, 0.0000)
Pd (0.7500, 0.2500, 0.5000)
Hg (0.5055, 0.1250, 0.2500)
Hg (0.3750, 0.4945, 0.7500)
Hg (0.8750, 0.7555, 0.7500)
Hg (0.2445, 0.6250, 0.2500)
N (0.5000, 0.5000, 0.0000)
N (0.2500, 0.7500, 0.5000)

***

(5)
## HgPdN2 (GGA-PBE)

Data for a geometry-optimized HgPdN2 structure.

Properties
DOS(E_F) = 0.63 states/eV/atom
total magnetic moment = 0.00 μB per cell
uncorrected energy = -33.80 eV per cell
formation energy from raw total energies = 1.311 eV per atom
space-group type = I-42d (122)

Cell: 5.4430 5.4430 5.6146 Å, 61.01 61.01 90.00°
Atoms (fractional coordinates):
Pd (0.2500, 0.7500, 0.5000)
Pd (0.5000, 0.5000, 0.0000)
Hg (0.7500, 0.2500, 0.5000)
Hg (0.0000, 0.0000, 0.0000)
N (0.5729, 0.1250, 0.2500)
N (0.3750, 0.4271, 0.7500)
N (0.1771, 0.6250, 0.2500)
N (0.8750, 0.8229, 0.7500)

***

(6)
## HgPdN2 (GGA-PBE)

Data for a geometry-optimized HgPdN2 structure.

Properties
DOS(E_F) = 0.00 states/eV/atom
total magnetic moment = 0.00 μB per cell
uncorrected energy = -18.49 eV per cell
formation energy from raw total energies = 0.913 eV per atom
space-group type = R-3m (166)

Cell: 6.4001 6.4001 6.4001 Å, 29.24 29.24 29.24°
Atoms (fractional coordinates):
Pd (0.5000, 0.5000, 0.5000)
Hg (0.0000, 0.0000, 0.0000)
N (0.8860, 0.8860, 0.8860)
N (0.1140, 0.1140, 0.1140)

***

(7)
## HgPdN2 (GGA-PBE)

Data for a geometry-optimized HgPdN2 structure.

Properties
DOS(E_F) = 0.63 states/eV/atom
total magnetic moment = 0.00 μB per cell
uncorrected energy = -16.28 eV per cell
formation energy from raw total energies = 1.466 eV per atom
space-group type = R-3m (166)

Cell: 6.4784 6.4784 6.4784 Å, 30.14 30.14 30.14°
Atoms (fractional coordinates):
N (0.8958, 0.8958, 0.8958)
N (0.1042, 0.1042, 0.1042)
Pd (0.0000, 0.0000, 0.0000)
Hg (0.5000, 0.5000, 0.5000)

***

(8)
## HgPd2RhN (GGA-PBE)

Data for a geometry-optimized HgPd2RhN structure.

Properties
DOS(E_F) = 0.42 states/eV/atom
total magnetic moment = 0.00 μB per cell
uncorrected energy = -25.70 eV per cell
formation energy from raw total energies = 0.134 eV per atom
space-group type = P4/mmm (123)

Cell: 4.3335 4.3335 3.9498 Å, 90.00 90.00 90.00°
Atoms (fractional coordinates):
Pd (0.0000, 0.5000, 0.0000)
Pd (0.5000, 0.0000, 0.0000)
Hg (0.5000, 0.5000, 0.5000)
Rh (0.0000, 0.0000, 0.5000)
N (0.0000, 0.0000, 0.0000)

***

(9)
## HgSbPd2N (GGA-PBE)

Data for a geometry-optimized HgSbPd2N structure.

Properties
DOS(E_F) = 0.69 states/eV/atom
total magnetic moment = 0.49 μB per cell
uncorrected energy = -17.31 eV per cell
formation energy from raw total energies = 1.165 eV per atom
space-group type = P4/mmm (123)

Cell: 5.1967 3.8869 5.1967 Å, 90.00 90.00 90.00°
Atoms (fractional coordinates):
Pd (0.0000, 0.0000, 0.5000)
Pd (0.5000, 0.0000, 0.0000)
Sb (0.5000, 0.5000, 0.5000)
Hg (0.0000, 0.0000, 0.0000)
N (0.0000, 0.5000, 0.0000)

***

(10)
## Sc2HgPdN (GGA-PBE)

Data for a geometry-optimized Sc2HgPdN structure.

Properties
DOS(E_F) = 0.46 states/eV/atom
total magnetic moment = 0.00 μB per cell
uncorrected energy = -30.62 eV per cell
formation energy from raw total energies = -0.827 eV per atom
space-group type = P4/mmm (123)

Cell: 4.3875 4.3392 4.3875 Å, 90.00 90.00 90.00°
Atoms (fractional coordinates):
N (0.0000, 0.0000, 0.0000)
Hg (0.5000, 0.5000, 0.5000)
Sc (0.0000, 0.0000, 0.5000)
Sc (0.5000, 0.0000, 0.0000)
Pd (0.0000, 0.5000, 0.0000)

***

(11)
## HgPdSeN2 (GGA-PBE)

Data for a geometry-optimized HgPdSeN2 structure.

Properties
DOS(E_F) = 1.07 states/eV/atom
total magnetic moment = 0.00 μB per cell
uncorrected energy = -18.71 eV per cell
formation energy from raw total energies = 1.384 eV per atom
space-group type = P4/mmm (123)
relative energy among the computed polymorphs = 0.00 kcal/mol of atoms

Cell: 3.9061 3.9061 5.8453 Å, 90.00 90.00 90.00°
Atoms (fractional coordinates):
Se (0.0000, 0.0000, 0.5000)
N (0.5000, 0.0000, 0.0000)
N (0.0000, 0.5000, 0.0000)
Hg (0.5000, 0.5000, 0.5000)
Pd (0.0000, 0.0000, 0.0000)

***

(12)
## HgPdSeN2 (GGA-PBE)

Data for a geometry-optimized HgPdSeN2 structure.

Properties
DOS(E_F) = 0.47 states/eV/atom
total magnetic moment = 0.63 μB per cell
uncorrected energy = -17.74 eV per cell
formation energy from raw total energies = 1.577 eV per atom
space-group type = P4/mmm (123)
relative energy among the computed polymorphs = 4.47 kcal/mol of atoms

Cell: 3.8016 7.0664 3.8016 Å, 90.00 90.00 90.00°
Atoms (fractional coordinates):
Pd (0.5000, 0.5000, 0.5000)
Hg (0.0000, 0.5000, 0.0000)
N (0.0000, 0.0000, 0.5000)
N (0.5000, 0.0000, 0.0000)
Se (0.0000, 0.0000, 0.0000)

***

- Which of these has the lowest uncorrected energy?
  Y4HgPbN

***

- uncorrected energy of number 4 (Hg2PdN)?
  -23.13 eV per cell

***

Repeat the fourth record exactly.
## Hg2PdN (GGA-PBE)

Data for a geometry-optimized Hg2PdN structure.

Properties
DOS(E_F) = 0.42 states/eV/atom
total magnetic moment = 0.00 μB per cell
uncorrected energy = -23.13 eV per cell
formation energy from raw total energies = 0.640 eV per atom
space-group type = I-42d (122)

Cell: 9.4019 9.4019 6.9171 Å, 47.19 47.19 90.00°
Atoms (fractional coordinates):
Pd (0.0000, 0.0000, 0.0000)
Pd (0.7500, 0.2500, 0.5000)
Hg (0.5055, 0.1250, 0.2500)
Hg (0.3750, 0.4945, 0.7500)
Hg (0.8750, 0.7555, 0.7500)
Hg (0.2445, 0.6250, 0.2500)
N (0.5000, 0.5000, 0.0000)
N (0.2500, 0.7500, 0.5000)